1.
DFT (PBE) results for BaCo2Pb after structural relaxation.

abc: 4.5298 4.5298 17.3411
angles: 90.00 90.00 120.00
With the nearest neighbours (Å) after each atom.
Space group R-3m (No. 166, hexagonal axes)
Asymmetric unit:
Ba (0.0000, 0.0000, 0.0000)  2 Co 3.06
Co (0.0000, 0.0000, 0.1764)  3 Pb 2.62, 3 Co 2.64
Pb (0.0000, 0.0000, 0.5000)  6 Co 2.62

Calculated values
energy above the most stable polymorph in this dataset	1.936	kcal/mol of atoms
formation energy	0.179	eV per atom
magnetic moment	2.88	μB per formula unit
DOS at the Fermi energy	4.6	states/eV/f.u.

---

2.
DFT (PBE) results for TcPRuO2 after structural relaxation.

abc: 3.6858 3.6858 5.4176
angles: 90.00 90.00 90.00
With the nearest neighbours (Å) after each atom.
Space group P4/mmm (No. 123)
Asymmetric unit:
Tc (0.0000, 0.0000, 0.0000)  4 O 1.84
P (0.0000, 0.0000, 0.5000)  4 Ru 2.61, 2 Tc 2.71
Ru (0.5000, 0.5000, 0.5000)  4 P 2.61
O (0.0000, 0.5000, 0.0000)  2 Tc 1.84

Calculated values
formation energy (no corrections)	-0.216	eV per atom
energy above the most stable polymorph in this dataset	0.000	kcal/mol of atoms
magnetic moment	2.14	μB per formula unit
DOS at the Fermi energy	4.3	states/eV/f.u.

---

3.
DFT (PBE) results for LiErAgAu after structural relaxation.

abc: 6.8446 6.8446 6.8446
angles: 90.00 90.00 90.00
With the nearest neighbours (Å) after each atom.
Space group F-43m (No. 216)
Asymmetric unit:
Li (0.0000, 0.0000, 0.0000)  4 Ag 2.96, 4 Au 2.96
Er (0.0000, 0.0000, 0.5000)  4 Au 2.96, 4 Ag 2.96
Ag (0.2500, 0.2500, 0.7500)  4 Er 2.96, 4 Li 2.96
Au (0.2500, 0.2500, 0.2500)  4 Li 2.96, 4 Er 2.96

Calculated values
formation energy	-0.481	eV per atom
magnetic moment	0.00	μB per formula unit
DOS at the Fermi energy	2.6	states/eV/f.u.